Record 1
Density functional theory data (PBEsol) for a relaxed structure of BaCu3.

```
BaCu3
1.0
3.235 0.000 0.000
0.000 3.235 0.000
0.000 0.000 6.903
Ba Cu
1 3
Cartesian
0.000 0.000 0.000
0.000 0.000 3.451
1.617 1.617 2.293
1.617 1.617 4.610
```

**Symmetry**: P4/mmm (123)
**Formation energy**: 0.272 eV per atom
**Magnetic moment**: 0.00 μB per cell
**VASP energy**: -3.516 eV/atom

***

Record 2
Density functional theory data (PBEsol) for a relaxed structure of HfZrHgP2.

```
HfZrHgP2
1.0
4.861 0.000 0.000
0.000 4.861 0.000
0.000 0.000 5.318
Hf Zr Hg P
1 1 1 2
Cartesian
0.000 0.000 0.000
0.000 0.000 2.659
2.431 2.431 0.000
0.000 2.431 2.659
2.431 0.000 2.659
```

**Symmetry**: P4/mmm (123)
**Formation energy**: 0.668 eV per atom
**Magnetic moment**: 0.00 μB per cell
**VASP energy**: -5.680 eV/atom

***

Record 3
Density functional theory data (PBEsol) for a relaxed structure of CaPBr2.

```
CaPBr2
1.0
7.262 -1.850 0.000
7.262 1.850 0.000
-1.005 0.000 3.883
Ca P Br
1 1 2
Cartesian
0.000 0.000 0.000
4.050 0.000 3.308
7.889 0.000 2.235
11.804 0.000 1.364
```

**Symmetry**: Cm (8)
**Magnetic moment**: 0.00 μB per cell
**VASP energy**: -3.731 eV/atom

***

Record 4
Density functional theory data (PBEsol) for a relaxed structure of Li4Cr3Cu3Sb2O16.

```
Li4Cr3Cu3Sb2O16
1.0
5.169 -2.878 0.000
5.169 2.878 0.000
-0.290 0.000 9.500
Li Cr Cu Sb O
4 3 3 2 16
Cartesian
0.000 0.000 0.000
-0.030 0.000 4.835
3.357 0.000 3.969
6.487 0.000 8.659
1.600 0.000 7.005
6.014 1.390 2.182
6.014 -1.390 2.182
4.087 1.418 6.886
4.087 -1.418 6.886
8.545 0.000 2.174
3.446 0.000 0.052
6.867 0.000 4.800
-0.086 0.000 7.671
0.114 0.000 3.008
2.254 1.262 8.237
1.673 0.000 1.108
4.329 1.472 1.069
3.102 0.000 5.966
6.014 1.463 5.781
2.254 -1.262 8.237
4.637 0.000 8.172
7.541 1.306 3.336
5.300 0.000 3.375
6.675 0.000 1.136
4.329 -1.472 1.069
8.613 0.000 5.703
6.014 -1.463 5.781
7.541 -1.306 3.336
```

**Symmetry**: Cm (8)
**Magnetic moment**: 3.29 μB per cell
**VASP energy**: -6.712 eV/atom

***

Record 5
Density functional theory data (PBEsol) for a relaxed structure of CsHfHg2.

```
CsHfHg2
1.0
0.000 3.828 3.828
3.828 0.000 3.828
3.828 3.828 0.000
Cs Hf Hg
1 1 2
Cartesian
0.000 0.000 0.000
3.828 3.828 3.828
1.914 1.914 1.914
5.742 5.742 5.742
```

**Symmetry**: Fm-3m (225)
**Formation energy**: 0.587 eV per atom
**Magnetic moment**: 0.00 μB per cell
**VASP energy**: -2.557 eV/atom

***

Record 6
Density functional theory data (PBEsol) for a relaxed structure of MgInHg2.

```
MgInHg2
1.0
3.236 -3.529 0.000
3.236 3.529 0.000
0.000 0.000 3.917
Mg In Hg
1 1 2
Cartesian
0.000 0.000 0.000
3.236 0.000 0.000
1.618 1.764 1.959
1.618 -1.764 1.959
```

**Symmetry**: Cmmm (65)
**Formation energy**: -0.141 eV per atom
**Magnetic moment**: 0.00 μB per cell
**VASP energy**: -1.599 eV/atom

***

Record 7
Density functional theory data (PBEsol) for a relaxed structure of MnFeIr2.

```
MnFeIr2
1.0
-1.823 1.823 3.752
1.823 -1.823 3.752
1.823 1.823 -3.752
Mn Fe Ir
1 1 2
Cartesian
0.000 0.000 0.000
0.000 1.823 1.876
1.823 0.000 1.876
0.000 0.000 3.752
```

**Symmetry**: I-4m2 (119)
**Formation energy**: -0.096 eV per atom
**Magnetic moment**: 0.82 μB per cell
**Polymorph energy (0 for the lowest one)**: 0.062 eV per atom
**VASP energy**: -9.688 eV/atom

***

Record 8
Density functional theory data (PBEsol) for a relaxed structure of Pr2Al19Co6.

```
Pr2Al19Co6
1.0
8.735 -6.001 0.000
8.735 6.001 0.000
-1.982 0.000 7.920
Pr Al Co
4 38 12
Cartesian
3.400 0.000 1.794
2.391 0.000 5.905
13.097 0.000 2.015
12.088 0.000 6.126
3.942 2.993 1.855
5.063 4.000 4.371
6.259 3.895 0.451
7.092 4.611 2.792
6.156 4.595 6.691
9.332 4.595 1.229
8.396 4.611 5.127
4.519 1.412 4.238
5.858 1.347 0.408
7.016 2.111 5.055
9.230 3.895 7.468
10.425 4.000 3.549
8.735 2.045 0.000
8.472 2.111 2.865
5.612 0.000 6.447
6.619 0.000 2.850
4.519 -1.412 4.238
5.858 -1.347 0.408
11.547 2.993 6.064
3.942 -2.993 1.855
9.630 1.347 7.512
10.969 1.412 3.682
8.869 0.000 5.070
9.876 0.000 1.473
7.016 -2.111 5.055
8.735 -2.045 0.000
5.063 -4.000 4.371
6.259 -3.895 0.451
8.472 -2.111 2.865
9.630 -1.347 7.512
10.969 -1.412 3.682
7.092 -4.611 2.792
6.156 -4.595 6.691
9.332 -4.595 1.229
8.396 -4.611 5.127
9.230 -3.895 7.468
10.425 -4.000 3.549
11.547 -2.993 6.064
0.264 0.000 3.207
-0.723 0.000 7.173
5.026 2.399 6.426
6.064 2.388 2.619
9.425 2.388 5.300
10.462 2.399 1.493
5.026 -2.399 6.426
6.064 -2.388 2.619
9.425 -2.388 5.300
10.462 -2.399 1.493
16.211 0.000 0.747
15.225 0.000 4.712
```

**Symmetry**: C2/m (12)
**Formation energy**: -0.495 eV per atom
**Magnetic moment**: 0.00 μB per cell
**VASP energy**: -5.477 eV/atom